1.
First-principles (PBE-GGA) data for a relaxed Nd4PtSe2Cl crystal, as listed in Alexandria.

## Properties
Raw formation energy, meV/atom: -1564
Theoretical density, Mg/m³: 7.5

Unit cell a=4.103 b=7.455 c=7.342 alpha=71.34 beta=90.00 gamma=90.00
Element x y z (fractional)
Nd: 0.500 0.263 0.734
Nd: 0.000 0.756 0.741
Nd: 0.000 0.244 0.259
Nd: 0.500 0.737 0.266
Cl: 0.500 0.500 0.000
Pt: 0.000 0.500 0.500
Se: 0.500 0.000 0.500
Se: 0.000 0.000 0.000


2.
First-principles (PBE-GGA) data for a relaxed KRb2NaSe crystal, as listed in Alexandria.

## Properties
Raw formation energy, meV/atom: -513
Theoretical density, Mg/m³: 1.9

Unit cell a=6.947 b=6.947 c=5.699 alpha=90.00 beta=90.00 gamma=90.00
Element x y z (fractional)
K: 0.500 0.500 0.500
Rb: 0.000 0.500 0.000
Rb: 0.500 0.000 0.000
Se: 0.000 0.000 0.000
Na: 0.000 0.000 0.500


3.
First-principles (PBE-GGA) data for a relaxed Dy3Th3Tc2 crystal, as listed in Alexandria.

## Properties
Theoretical density, Mg/m³: 9.9
Energy relative to the elements, eV/atom: 0.05

Unit cell a=3.607 b=7.098 c=18.779 alpha=90.00 beta=90.00 gamma=104.72
Element x y z (fractional)
Tc: 0.292 0.584 0.150
Tc: 0.292 0.584 0.350
Tc: 0.708 0.416 0.850
Tc: 0.708 0.416 0.650
Th: 0.325 0.649 0.939
Th: 0.433 0.865 0.250
Th: 0.675 0.351 0.061
Th: 0.675 0.351 0.439
Th: 0.325 0.649 0.561
Th: 0.567 0.135 0.750
Dy: 0.691 0.381 0.250
Dy: 0.309 0.619 0.750
Dy: 0.068 0.136 0.584
Dy: 0.068 0.136 0.916
Dy: 0.932 0.864 0.084
Dy: 0.932 0.864 0.416


4.
First-principles (PBE-GGA) data for a relaxed Ti3CoSe crystal, as listed in Alexandria.

## Properties
Raw formation energy, meV/atom: 37
Theoretical density, Mg/m³: 5.1

Unit cell a=4.507 b=4.507 c=4.507 alpha=90.00 beta=90.00 gamma=90.00
Element x y z (fractional)
Co: 0.000 0.000 0.000
Ti: 0.000 0.500 0.000
Ti: 0.500 0.000 0.000
Ti: 0.000 0.000 0.500
Se: 0.500 0.500 0.500


5.
First-principles (PBE-GGA) data for a relaxed ErGa6 crystal, as listed in Alexandria.

## Properties
Theoretical density, Mg/m³: 7.2
Energy relative to the elements, eV/atom: -0.29

Unit cell a=5.967 b=5.967 c=7.551 alpha=90.00 beta=90.00 gamma=90.00
Element x y z (fractional)
Ga: 0.500 0.500 0.838
Ga: 0.175 0.325 0.353
Ga: 0.825 0.325 0.647
Ga: 0.175 0.675 0.647
Ga: 0.825 0.675 0.353
Ga: 0.325 0.175 0.647
Ga: 0.000 0.000 0.838
Ga: 0.675 0.825 0.647
Ga: 0.500 0.500 0.162
Ga: 0.325 0.825 0.353
Ga: 0.675 0.175 0.353
Ga: 0.000 0.000 0.162
Er: 0.500 0.000 0.000
Er: 0.000 0.500 0.000


6.
First-principles (PBE-GGA) data for a relaxed LiCl2 crystal, as listed in Alexandria.

## Properties
Raw formation energy, meV/atom: -860
Theoretical density, Mg/m³: 2.1

Unit cell a=5.404 b=5.404 c=5.404 alpha=112.19 beta=112.19 gamma=104.16
Each line ends with the local moment (μB).
Element x y z (fractional)
Cl: 0.658 0.158 0.815  0.41
Cl: 0.842 0.658 0.500  0.41
Cl: 0.158 0.342 0.500  0.41
Cl: 0.342 0.842 0.185  0.41
Li: 0.750 0.750 0.000  0.00
Li: 0.250 0.250 0.000  0.00


7.
First-principles (PBE-GGA) data for a relaxed SmDy15Ho4 crystal, as listed in Alexandria.

## Properties
Theoretical density, Mg/m³: 8.6
Energy relative to the elements, eV/atom: 0.02

Unit cell a=5.008 b=5.008 c=25.045 alpha=90.00 beta=90.00 gamma=90.00
Element x y z (fractional)
Dy: 0.500 0.000 0.899
Dy: 0.500 0.500 0.000
Dy: 0.500 0.500 0.400
Dy: 0.000 0.500 0.300
Dy: 0.500 0.000 0.500
Dy: 0.500 0.500 0.201
Dy: 0.500 0.500 0.600
Dy: 0.000 0.500 0.101
Dy: 0.000 0.500 0.500
Dy: 0.500 0.500 0.799
Dy: 0.500 0.000 0.700
Dy: 0.500 0.000 0.101
Dy: 0.000 0.500 0.700
Dy: 0.500 0.000 0.300
Dy: 0.000 0.500 0.899
Sm: 0.000 0.000 0.000
Ho: 0.000 0.000 0.600
Ho: 0.000 0.000 0.201
Ho: 0.000 0.000 0.400
Ho: 0.000 0.000 0.799


8.
First-principles (PBE-GGA) data for a relaxed Ac2Cu3Pd12Au crystal, as listed in Alexandria.

## Properties
Theoretical density, Mg/m³: 9.3
Energy relative to the elements, eV/atom: 0.07

Unit cell a=7.923 b=7.923 c=7.923 alpha=63.22 beta=63.22 gamma=63.22
Element x y z (fractional)
Pd: 0.142 0.142 0.608
Pd: 0.369 0.369 0.885
Pd: 0.885 0.369 0.369
Pd: 0.858 0.858 0.392
Pd: 0.631 0.631 0.115
Pd: 0.115 0.631 0.631
Pd: 0.392 0.858 0.858
Pd: 0.142 0.608 0.142
Pd: 0.608 0.142 0.142
Pd: 0.858 0.392 0.858
Pd: 0.369 0.885 0.369
Pd: 0.631 0.115 0.631
Ac: 0.387 0.387 0.387
Ac: 0.613 0.613 0.613
Cu: 0.000 0.000 0.500
Cu: 0.000 0.500 0.000
Cu: 0.500 0.000 0.000
Au: 0.000 0.000 0.000


9.
First-principles (PBE-GGA) data for a relaxed La6CI3N2 crystal, as listed in Alexandria.

## Properties
Raw formation energy, meV/atom: -1107
Theoretical density, Mg/m³: 6.7

Unit cell a=6.751 b=6.751 c=8.222 alpha=97.87 beta=97.87 gamma=120.00
Element x y z (fractional)
C: 0.000 0.000 0.000
La: 0.279 0.279 0.829
La: 0.393 0.057 0.171
La: 0.943 0.607 0.829
La: 0.607 0.943 0.829
La: 0.721 0.721 0.171
La: 0.057 0.393 0.171
N: 0.667 0.333 0.000
N: 0.333 0.667 0.000
I: 0.165 0.835 0.500
I: 0.835 0.165 0.500
I: 0.500 0.500 0.500


10.
First-principles (PBE-GGA) data for a relaxed La6Nd12Th crystal, as listed in Alexandria.

## Properties
Theoretical density, Mg/m³: 6.6
Energy relative to the elements, eV/atom: 0.11

Unit cell a=8.995 b=8.995 c=8.995 alpha=98.29 beta=98.29 gamma=98.29
Element x y z (fractional)
La: 0.406 0.140 0.141
La: 0.860 0.859 0.594
La: 0.141 0.406 0.140
La: 0.859 0.594 0.860
La: 0.594 0.860 0.859
La: 0.140 0.141 0.406
Nd: 0.739 0.000 0.261
Nd: 0.000 0.261 0.739
Nd: 0.739 0.261 0.000
Nd: 0.830 0.414 0.414
Nd: 0.586 0.170 0.586
Nd: 0.000 0.739 0.261
Nd: 0.261 0.739 0.000
Nd: 0.586 0.586 0.170
Nd: 0.261 0.000 0.739
Nd: 0.170 0.586 0.586
Nd: 0.414 0.830 0.414
Nd: 0.414 0.414 0.830
Th: 0.000 0.000 0.000


11.
First-principles (PBE-GGA) data for a relaxed NaCa2LaZn crystal, as listed in Alexandria.

## Properties
Theoretical density, Mg/m³: 2.6
Energy relative to the elements, eV/atom: 0.09

Unit cell a=5.863 b=5.863 c=5.766 alpha=90.00 beta=90.00 gamma=90.00
Element x y z (fractional)
Ca: 0.500 0.000 0.000
Ca: 0.000 0.500 0.000
Na: 0.500 0.500 0.500
Zn: 0.000 0.000 0.000
La: 0.000 0.000 0.500


12.
First-principles (PBE-GGA) data for a relaxed Sm6UO12 crystal, as listed in Alexandria.

## Properties
Raw formation energy, meV/atom: -3466
Theoretical density, Mg/m³: 7.6

Unit cell a=6.732 b=6.732 c=6.732 alpha=98.89 beta=98.89 gamma=98.89
Element x y z (fractional)
O: 0.073 0.303 0.955
O: 0.567 0.822 0.411
O: 0.927 0.697 0.045
O: 0.955 0.073 0.303
O: 0.411 0.567 0.822
O: 0.178 0.589 0.433
O: 0.589 0.433 0.178
O: 0.697 0.045 0.927
O: 0.433 0.178 0.589
O: 0.045 0.927 0.697
O: 0.303 0.955 0.073
O: 0.822 0.411 0.567
Sm: 0.145 0.317 0.611
Sm: 0.389 0.855 0.683
Sm: 0.683 0.389 0.855
Sm: 0.317 0.611 0.145
Sm: 0.611 0.145 0.317
Sm: 0.855 0.683 0.389
U: 0.000 0.000 0.000


> Look up the theoretical density of the fourth one.

5.1 Mg/m³


> What is the theoretical density in the eighth record?

9.3 Mg/m³